Here is a relaxed NaBi3S6 crystal from Alexandria via LeMat-Bulk. Energies are from PBE.

Properties
Electronic total energy, eV/cell: -165.2

Cell lengths 10.252, 14.214, 7.692 Å; angles 90.00, 90.00, 90.00 degrees
Space group Cmc2_1 (No. 36)
Unique sites:
Na (0.000, 0.153, 0.000) (multiplicity 4)
Bi (0.000, 0.363, 0.603) (multiplicity 4)
Bi (0.190, 0.122, 0.547) (multiplicity 8)
S (0.000, 0.022, 0.701) (multiplicity 4)
S (0.000, 0.214, 0.374) (multiplicity 4)
S (0.103, 0.470, 0.303) (multiplicity 8)
S (0.180, 0.257, 0.777) (multiplicity 8)



Here is a relaxed Na2BiS crystal from Alexandria via LeMat-Bulk. Energies are from PBE.

Properties
Electronic total energy, eV/cell: -49.1
Offset from the most stable computed form, meV/atom: 0

Cell lengths 8.471, 8.471, 5.885 Å; angles 90.00, 90.00, 90.00 degrees
Space group I-42d (No. 122)
Unique sites:
Na (0.183, 0.250, 0.125) (multiplicity 8)
Bi (0.000, 0.000, 0.500) (multiplicity 4)
S (0.000, 0.000, 0.000) (multiplicity 4)



Here is a relaxed Na3BiS3 crystal from Alexandria via LeMat-Bulk. Energies are from PBE.

Properties
Electronic total energy, eV/cell: -156.4
Offset from the most stable computed form, meV/atom: 0

Cell lengths 7.9418, 7.9418, 20.0965 Å; angles 90.00, 90.00, 120.00 degrees
Space group R-3 (No. 148, hexagonal axes)
Unique sites:
Na (0.0245, 0.2926, 0.1100) (multiplicity 18)
Bi (0.0000, 0.0000, 0.3199) (multiplicity 6)
S (0.0301, 0.3023, 0.2520) (multiplicity 18)



Here is a relaxed NaBiS2 crystal from Alexandria via LeMat-Bulk. Energies are from PBE.

Properties
Electronic total energy, eV/cell: -63.1

Cell lengths 6.407, 6.407, 12.642 Å; angles 90.00, 90.00, 90.00 degrees
Space group I-42d (No. 122)
Unique sites:
Na (0.000, 0.000, 0.000) (multiplicity 4)
Bi (0.000, 0.000, 0.500) (multiplicity 4)
S (0.237, 0.250, 0.625) (multiplicity 8)



Here is a relaxed Na3BiS crystal from Alexandria via LeMat-Bulk. Energies are from PBE.

Properties
Electronic total energy, eV/cell: -11.3
Offset from the most stable computed form, meV/atom: 578

Cell lengths 5.900, 5.900, 5.900 Å; angles 90.00, 90.00, 90.00 degrees
Space group Pm-3m (No. 221)
Unique sites:
Na (0.000, 0.000, 0.500) (multiplicity 3)
Bi (0.000, 0.000, 0.000) (multiplicity 1)
S (0.500, 0.500, 0.500) (multiplicity 1)



Here is a relaxed NaBi6S8 crystal from Alexandria via LeMat-Bulk. Energies are from PBE.

Properties
Electronic total energy, eV/cell: -184.0

Cell lengths 12.5209, 12.5209, 12.0694 Å; angles 90.00, 90.00, 120.00 degrees
Space group R-3 (No. 148, hexagonal axes)
Unique sites:
Na (0.0000, 0.0000, 0.0000) (multiplicity 3)
Bi (0.0135, 0.8363, 0.3765) (multiplicity 18)
S (0.0000, 0.0000, 0.2251) (multiplicity 6)
S (0.0150, 0.2704, 0.4035) (multiplicity 18)



Here is a relaxed NaBi2S2 crystal from Alexandria via LeMat-Bulk. Energies are from PBE.

Properties
Electronic total energy, eV/cell: -37.1

Cell lengths 7.546, 7.546, 4.519 Å; angles 90.00, 90.00, 90.00 degrees
Space group P4/mbm (No. 127)
Unique sites:
Na (0.000, 0.000, 0.000) (multiplicity 2)
Bi (0.185, 0.315, 0.500) (multiplicity 4)
S (0.172, 0.672, 0.000) (multiplicity 4)



Here is a relaxed NaBiS2 crystal from Alexandria via LeMat-Bulk. Energies are from PBE.

Properties
Electronic total energy, eV/cell: -16.1

Cell lengths 4.094, 4.094, 5.558 Å; angles 90.00, 90.00, 90.00 degrees
Space group P4/mmm (No. 123)
Unique sites:
Na (0.000, 0.000, 0.000) (multiplicity 1)
Bi (0.500, 0.500, 0.500) (multiplicity 1)
S (0.000, 0.000, 0.500) (multiplicity 1)
S (0.500, 0.500, 0.000) (multiplicity 1)



Q: Number 8 is which compound?
A: NaBiS2